Record 1
Entry from Alexandria: a relaxed structure of LaAlAg (GGA-PBE).

Structure (POSCAR):
```
LaAlAg
1.0
0.000 3.567 3.567
3.567 0.000 3.567
3.567 3.567 0.000
La Al Ag
1 1 1
Direct
0.000 0.000 0.000
0.250 0.250 0.250
0.750 0.750 0.750
```

The symmetry is No. 216.

=====

Record 2
Entry from Alexandria: a relaxed structure of La4AlAg3 (GGA-PBE).

Structure (POSCAR):
```
La4AlAg3
1.0
2.703 1.561 8.855
-2.703 1.561 8.855
0.000 -3.121 8.855
La Al Ag
4 1 3
Direct
0.124 0.124 0.124
0.375 0.375 0.375
0.625 0.625 0.625
0.876 0.876 0.876
0.500 0.500 0.500
0.000 0.000 0.000
0.246 0.246 0.246
0.754 0.754 0.754
```

The symmetry is No. 166.

=====

Record 3
Entry from Alexandria: a relaxed structure of LaAl3Ag2 (GGA-PBE).

Structure (POSCAR):
```
LaAl3Ag2
1.0
8.221 -2.183 0.000
8.221 2.183 0.000
-3.455 0.000 7.109
La Al Ag
2 6 4
Direct
0.149 0.149 0.077
0.851 0.851 0.923
0.030 0.030 0.367
0.314 0.314 0.548
0.389 0.389 0.285
0.611 0.611 0.715
0.686 0.686 0.452
0.970 0.970 0.633
0.190 0.190 0.673
0.479 0.479 0.814
0.521 0.521 0.186
0.810 0.810 0.327
```

The symmetry is No. 12.

=====

Record 4
Entry from Alexandria: a relaxed structure of LaAl3Ag4 (GGA-PBE).

Structure (POSCAR):
```
LaAl3Ag4
1.0
4.424 0.000 0.000
0.000 4.424 0.000
0.000 0.000 8.498
La Al Ag
1 3 4
Direct
0.000 0.000 0.000
0.000 0.000 0.500
0.500 0.500 0.152
0.500 0.500 0.848
0.000 0.500 0.323
0.000 0.500 0.677
0.500 0.000 0.323
0.500 0.000 0.677
```

The symmetry is No. 123.

=====

Number 1: formation enthalpy at 0 K 0.9 eV/f.u.. Number 2: formation enthalpy at 0 K -2.2 eV/f.u.. Number 3: formation enthalpy at 0 K -1.5 eV/f.u.. Number 4: formation enthalpy at 0 K -1.5 eV/f.u..